Entry 1:
Pm6SiRu2I3: relaxed, PBE.

Calculated values
DOS at the Fermi energy (states/eV/f.u.): 9.139
Energy relative to the elements, uncorrected (eV per atom): -0.721

```
12
Lattice="-6.032 -1.970 -3.619 5.120 -4.973 1.554 -3.329 0.754 7.614" Properties=species:S:1:pos:R:3 pbc="T T T"
I 1.633 -4.105 4.515
I -5.873 -2.084 1.033
Pm 1.107 -2.021 1.841
Ru 1.406 -3.973 -0.169
Pm -2.968 -1.373 5.602
Pm -2.784 -0.973 0.036
Pm -1.457 -5.216 5.512
I -2.120 -3.094 2.774
Si 0.000 0.000 0.000
Pm -1.272 -4.816 -0.053
Ru -2.318 -2.970 -1.896
Pm -5.348 -4.168 3.707
```


Entry 2:
PmSmRuI: relaxed, PBE.

Calculated values
DOS at the Fermi energy (states/eV/f.u.): 2.571
Energy relative to the elements, uncorrected (eV per atom): -0.603

```
4
Lattice="-0.622 3.640 1.808 -2.446 -1.212 -3.074 -3.770 -5.538 5.184" Properties=species:S:1:pos:R:3 pbc="T T T"
I -2.911 1.040 2.466
Ru -4.810 -4.373 3.363
Sm -2.569 -1.100 -2.459
Pm -3.270 -2.100 3.992
```


Entry 3:
TbPmRuI: relaxed, PBE.

Calculated values
DOS at the Fermi energy (states/eV/f.u.): 2.451
Energy relative to the elements, uncorrected (eV per atom): -0.605

```
4
Lattice="4.082 0.000 0.000 -2.040 3.535 0.000 -2.040 -1.178 8.074" Properties=species:S:1:pos:R:3 pbc="T T T"
I 2.427 0.921 2.916
Tb -1.655 3.276 0.425
Pm 0.387 -0.258 5.521
Ru -1.654 0.920 7.042
```


Entry 4:
Pm4Te2RuI: relaxed, PBE.

Calculated values
DOS at the Fermi energy (states/eV/f.u.): 6.490
Energy relative to the elements, uncorrected (eV per atom): -0.941

```
8
Lattice="-2.917 1.916 2.445 -5.308 -5.166 -2.284 0.280 -6.047 5.073" Properties=species:S:1:pos:R:3 pbc="T T T"
Te 0.280 -6.047 5.073
Pm -2.761 -4.789 4.173
Ru -2.514 -5.606 1.394
Pm -3.677 -8.053 1.925
Pm -5.184 -4.507 1.061
Te -1.318 -2.065 3.759
Pm -4.268 -1.243 3.309
I -4.112 -1.625 0.081
```


Entry 5:
Pm6ZnRu2I3: relaxed, PBE.

Calculated values
DOS at the Fermi energy (states/eV/f.u.): 6.368
Energy relative to the elements, uncorrected (eV per atom): -0.655

```
12
Lattice="7.255 0.000 0.001 -3.626 6.284 0.001 -1.209 -2.094 8.115" Properties=species:S:1:pos:R:3 pbc="T T T"
Pm 3.710 1.951 6.582
Pm 2.584 0.001 1.534
Ru 3.629 2.094 0.001
Ru 0.000 4.190 0.001
I -2.437 4.201 4.058
Pm -0.164 4.188 6.582
I 1.210 2.095 4.058
I 4.857 -0.011 4.058
Zn 0.000 0.000 0.000
Pm -1.290 2.238 1.534
Pm 2.338 4.048 1.528
Pm 0.082 0.142 6.589
```


Entry 6:
Pm2SI3: relaxed, PBE.

Calculated values
DOS at the Fermi energy (states/eV/f.u.): 1.252
Energy relative to the elements, uncorrected (eV per atom): -1.532

```
12
Lattice="4.647 0.000 0.000 2.323 9.004 0.370 2.323 2.516 10.816" Properties=species:S:1:pos:R:3 pbc="T T T"
Pm 4.647 3.833 6.058
I 6.970 9.129 6.940
I 6.970 8.323 2.913
S 4.647 6.201 7.439
I 2.323 2.391 4.246
I 2.323 3.197 8.274
Pm 4.647 7.687 5.128
I 2.323 2.783 0.234
I 6.970 8.737 10.953
Pm 2.323 5.154 2.389
S 4.647 5.319 3.748
Pm 6.970 6.366 8.798
```


Entry 7:
Pm4SI5: relaxed, PBE.

Calculated values
DOS at the Fermi energy (states/eV/f.u.): 2.402
Energy relative to the elements, uncorrected (eV per atom): -1.422

```
10
Lattice="4.091 0.000 -0.891 -0.450 8.652 -2.069 0.000 0.091 9.841" Properties=species:S:1:pos:R:3 pbc="T T T"
Pm 1.040 8.129 4.775
I 3.304 1.630 5.335
I 0.521 2.965 2.392
Pm 3.992 1.861 8.494
I 1.820 4.326 -1.480
I 3.120 5.778 4.490
Pm 2.601 0.614 2.106
Pm -0.351 6.882 -1.613
S 2.046 0.000 -0.445
I 0.337 7.113 1.547
```


Entry 8:
PmS2I: relaxed, PBE.

Calculated values
Energy relative to the elements, uncorrected (eV per atom): -1.174

```
4
Lattice="4.326 0.000 0.000 2.163 3.746 0.000 2.163 1.249 8.015" Properties=species:S:1:pos:R:3 pbc="T T T"
Pm 4.326 2.497 4.007
S 2.163 1.249 5.371
S 6.489 3.746 2.643
I 0.000 0.000 0.000
```


Entry 9:
PmSI2: relaxed, PBE.

Calculated values
DOS at the Fermi energy (states/eV/f.u.): 2.256
Energy relative to the elements, uncorrected (eV per atom): -1.064

```
4
Lattice="4.140 -0.181 -0.126 1.811 5.835 -0.399 1.812 1.681 5.602" Properties=species:S:1:pos:R:3 pbc="T T T"
Pm 5.822 6.306 2.645
I 3.584 3.871 3.225
I 2.109 5.121 -0.348
S 1.941 1.540 1.693
```


Entry 10:
Pm3SI3: relaxed, PBE.

Calculated values
DOS at the Fermi energy (states/eV/f.u.): 2.425
Energy relative to the elements, uncorrected (eV per atom): -1.441

```
14
Lattice="-6.580 1.557 2.487 -5.831 -2.270 -3.571 -4.115 -9.841 5.708" Properties=species:S:1:pos:R:3 pbc="T T T"
I -10.201 -7.808 2.224
Pm -10.442 -8.332 5.323
I -8.523 -5.764 5.452
Pm -8.573 -0.483 2.062
I -6.325 -2.747 2.399
S -4.137 -0.238 -0.362
I -10.473 -2.997 2.017
I -6.054 -7.557 2.606
Pm -10.156 -2.509 -1.138
I -8.004 -4.791 -0.829
Pm -6.085 -2.223 -0.700
S -12.390 -10.317 4.984
Pm -6.371 -8.046 5.761
Pm -7.954 -10.072 2.561
```


Entry 11:
PmS2I2: relaxed, PBE.

Calculated values
DOS at the Fermi energy (states/eV/f.u.): 1.888
Energy relative to the elements, uncorrected (eV per atom): -0.914

```
5
Lattice="-3.569 1.123 -2.491 -1.387 -5.354 -0.427 -6.803 -1.511 5.011" Properties=species:S:1:pos:R:3 pbc="T T T"
S -3.260 -1.869 -2.004
I -4.425 -4.617 0.203
S -1.697 -2.361 -0.913
I -7.334 -1.124 1.890
Pm 0.000 0.000 0.000
```